A plane-wave DFT calculation with PBE with a Hubbard U was carried out for NaMo2F8 after structural relaxation.

Energy above the most stable polymorph in this dataset = 0.00 eV per formula unit
Magnetic moment = 0.455 μB/atom

Cell: 10.957 6.577 4.964 Å, 90.00 100.46 90.00°
Space group C2/m (No. 12)
Symmetry-distinct sites (fractional):
Na 0.000 0.000 0.000
Mo 0.235 0.500 0.492
F 0.118 0.500 0.748
F 0.148 0.000 0.769
F 0.154 0.232 0.300